Below is a relaxed structure of Na2ZrFeO4, with properties calculated at the PBE with a Hubbard U level.

a b c (Å): 5.573 3.226 5.830
angles (deg): 90.00 109.67 90.00
Fractional coordinates of all 8 atoms:
Na: 0.000 0.000 0.000
Na: 0.500 0.500 0.000
Zr: 0.000 0.500 0.500
Fe: 0.500 0.000 0.500
O: 0.219 0.000 0.716
O: 0.257 0.500 0.301
O: 0.743 0.500 0.699
O: 0.781 0.000 0.284

## Properties
Magnetic moment ... 4.000 μB per formula unit
Density of states at the Fermi level ... 0.0 states/eV/f.u.
Energy ... -54.4 eV/f.u.